Compound: U2PaS
Source: the Alexandria database
Functional: PBE-GGA
Structure: relaxed

Calculated values
**Uncorrected formation energy**: -270 meV per atom
**Volume**: 22.29 A^3/atom
**Energy**: -9.32 eV per atom
**Size of the total moment**: 0.94 μB per atom

a b c (Å): 3.4069 3.4069 26.6090
angles (deg): 90.00 90.00 120.00
Closest atoms and distances in Å follow each position.
Space group R-3m (No. 166, hexagonal axes)
Unique sites:
U 0.0000 0.0000 0.2373 x6  3 S 2.72
Pa 0.0000 0.0000 0.0000 x3  6 U 3.22, 6 Pa 3.41
S 0.0000 0.0000 0.5000 x3  6 U 2.72

Compound: Ce4PrHo
Source: the Alexandria database
Functional: PBE-GGA
Structure: relaxed

Calculated values
**Volume**: 30.22 A^3/atom
**Energy of formation from the pure elements**: 203 meV per atom
**Energy**: -5.31 eV per atom
**Size of the total moment**: 0.70 μB per atom

a b c (Å): 8.9847 8.9847 8.9847
angles (deg): 90.00 90.00 90.00
Closest atoms and distances in Å follow each position.
Space group F-43m (No. 216)
Unique sites:
Ce 0.1200 0.1200 0.3800 x16  6 Ce 3.05-3.30
Pr 0.0000 0.0000 0.0000 x4  12 Ce 3.74, 4 Ho 3.89
Ho 0.2500 0.2500 0.7500 x4  12 Ce 3.71, 4 Pr 3.89

Compound: BaZnTe2
Source: the Alexandria database
Functional: PBE-GGA
Structure: relaxed

Calculated values
**Uncorrected formation energy**: -1010 meV per atom
**Volume**: 35.39 A^3/atom
**Energy**: -3.38 eV per atom
**Size of the total moment**: 0.00 μB per atom

a b c (Å): 8.0581 8.0581 8.7204
angles (deg): 90.00 90.00 90.00
Closest atoms and distances in Å follow each position.
Space group I-42d (No. 122)
Unique sites:
Ba 0.0000 0.0000 0.0000 x4  4 Te 3.50
Zn 0.0000 0.0000 0.5000 x4  4 Te 2.68
Te 0.1717 0.2500 0.6250 x8  2 Zn 2.68

- What is the size of the total moment in the third record?
  0.00 μB per atom

Copy entry 2 word for word.
Compound: Ce4PrHo
Source: the Alexandria database
Functional: PBE-GGA
Structure: relaxed

Calculated values
**Volume**: 30.22 A^3/atom
**Energy of formation from the pure elements**: 203 meV per atom
**Energy**: -5.31 eV per atom
**Size of the total moment**: 0.70 μB per atom

a b c (Å): 8.9847 8.9847 8.9847
angles (deg): 90.00 90.00 90.00
Closest atoms and distances in Å follow each position.
Space group F-43m (No. 216)
Unique sites:
Ce 0.1200 0.1200 0.3800 x16  6 Ce 3.05-3.30
Pr 0.0000 0.0000 0.0000 x4  12 Ce 3.74, 4 Ho 3.89
Ho 0.2500 0.2500 0.7500 x4  12 Ce 3.71, 4 Pr 3.89

- Which of these has the highest size of the total moment?
  U2PaS

- The lowest energy belongs to which entry?
  U2PaS